[1]
# Sr2Al3Pt

A relaxed Sr2Al3Pt crystal (PBE, the Alexandria database).

## Properties
As for the symmetry: C2/m, No. 12. The calculation puts the energy of formation at -0.500 eV/atom.

The structure in extended XYZ format:
```
6
Lattice="-3.718 -3.846 1.979 4.503 -1.730 -3.043 3.495 2.742 3.641" Properties=species:S:1:pos:R:3 pbc="T T T"
Sr -0.674 -3.189 0.782
Sr 4.955 0.355 1.796
Al 2.140 -1.417 1.289
Al 1.748 1.371 1.821
Al -0.111 -0.552 2.810
Pt 0.000 0.000 0.000
```

=====

[2]
# Sr2AlPt

A relaxed Sr2AlPt crystal (PBE, the Alexandria database).

## Properties
As for the symmetry: Amm2, No. 38. The calculation puts the energy of formation at -0.619 eV/atom.

The structure in extended XYZ format:
```
4
Lattice="-3.012 3.062 0.328 -3.452 -3.330 -0.606 -1.941 -2.488 5.410" Properties=species:S:1:pos:R:3 pbc="T T T"
Sr -5.157 -5.535 4.324
Sr -3.087 -0.198 1.784
Al -3.349 -3.553 2.426
Pt -4.900 -2.197 3.804
```

=====

[3]
# Sr2Al2Pt

A relaxed Sr2Al2Pt crystal (PBE, the Alexandria database).

## Properties
As for the symmetry: P4/mbm, No. 127. The calculation puts the energy of formation at -0.365 eV/atom.

The structure in extended XYZ format:
```
10
Lattice="6.940 0.000 0.000 0.000 6.940 0.000 0.000 0.000 5.233" Properties=species:S:1:pos:R:3 pbc="T T T"
Sr 1.263 4.733 2.616
Sr 4.733 5.677 2.616
Sr 5.677 2.207 2.616
Sr 2.207 1.263 2.616
Al 2.513 5.983 0.000
Al 5.983 4.427 0.000
Al 4.427 0.957 0.000
Al 0.957 2.513 0.000
Pt 0.000 0.000 0.000
Pt 3.470 3.470 0.000
```